This record from Alexandria via LeMat-Bulk describes an optimized crystal structure of KCrPb2Au. The functional is PBE.

abc: 5.561 5.561 5.946
angles: 90.00 90.00 90.00
Space group P4/mmm (No. 123)
Asymmetric unit:
K: 0.000 0.000 0.000 [1 per cell]
Cr: 0.500 0.500 0.000 [1 per cell]
Pb: 0.000 0.500 0.500 [2 per cell]
Au: 0.000 0.000 0.500 [1 per cell]

Summary:
- energy relative to the elements (eV per formula unit) = 3.16
- DOS at the Fermi energy (states/eV per cell) = 3.42
- energy (eV per cell) = -18.3